A geometry-optimized Pm2CoCu structure, computed with GGA-PBEsol.

Computed properties:
The calculation puts the density of states at the Fermi level at 3.28 states/eV/cell. Its final energy is -5.638 eV/atom. For the formation energy, the calculation gives -52 meV per atom.

The structure in POSCAR format:
```
Pm2CoCu
1.0
-1.1189 4.6790 -0.5405
-4.4738 1.5511 1.0082
-0.7823 2.7673 3.8945
Pm Co Cu
2 1 1
direct
0.2500 0.2500 0.2500
0.7500 0.7500 0.7500
0.5000 0.5000 0.5000
0.0000 0.0000 0.0000
```